Record 1
The following is a DFT calculation (GGA-PBE) of a relaxed structure of K2PPb.

The calculation puts the offset from the most stable computed form at 0.408 eV/atom. As for the energy of formation from the pure elements: 0.17 eV/atom. The value obtained for the total magnetic moment is 0.00 μB per cell.

The structure belongs to space group C2/m (No. 12); the cell edges are 11.143, 3.340 and 6.695 Å and the angles 90.00°, 97.74° and 90.00°. The distinct sites, in fractional coordinates, are K at (0.236, 0.000, 0.217), P at (0.000, 0.500, 0.000) and Pb at (0.000, 0.000, 0.500).

=====

Record 2
The following is a DFT calculation (GGA-PBE) of a relaxed structure of NdTmW.

As for the energy of formation from the pure elements: 0.18 eV/atom. The value obtained for the total magnetic moment is 0.00 μB per cell.

The structure belongs to space group P4/nmm (No. 129, origin choice 2); the cell edges are 3.344, 3.344 and 13.932 Å and the angles 90.00°, 90.00° and 90.00°. The distinct sites, in fractional coordinates, are Nd at (0.250, 0.250, 0.102), Tm at (0.250, 0.250, 0.687) and W at (0.250, 0.250, 0.453).

=====

Record 3
The following is a DFT calculation (GGA-PBE) of a relaxed structure of Pa2GeN.

The calculation puts the offset from the most stable computed form at 0.443 eV/atom. The value obtained for the total magnetic moment is 0.01 μB per cell. The formation energy (no corrections) comes out at -0.43 eV/atom.

The structure belongs to space group P4/mmm (No. 123); the cell edges are 3.106, 3.106 and 7.299 Å and the angles 90.00°, 90.00° and 90.00°. The distinct sites, in fractional coordinates, are Pa at (0.000, 0.000, 0.206), Ge at (0.500, 0.500, 0.500) and N at (0.500, 0.500, 0.000).

=====

Record 4
The following is a DFT calculation (GGA-PBE) of a relaxed structure of La2Dy8Er.

The calculation puts the offset from the most stable computed form at 0.000 eV/atom. As for the energy of formation from the pure elements: 0.03 eV/atom. The value obtained for the total magnetic moment is 0.00 μB per cell.

The structure belongs to space group C2/m (No. 12); the cell edges are 18.245, 5.066 and 8.002 Å and the angles 90.00°, 105.30° and 90.00°. The distinct sites, in fractional coordinates, are La at (0.227, 0.000, 0.137), Dy at (0.044, 0.000, 0.228), Dy at (0.089, 0.500, 0.952), Dy at (0.134, 0.000, 0.675), Dy at (0.180, 0.500, 0.407) and Er at (0.000, 0.500, 0.500).